1.
The following is a DFT calculation (PBE with a Hubbard U) of a relaxed structure of K2NiBiO4.

Geometry as CIF:
```
data_K2NiBiO4
_cell_length_a 5.917
_cell_length_b 5.917
_cell_length_c 5.917
_cell_angle_alpha 118.85
_cell_angle_beta 118.85
_cell_angle_gamma 92.01
_symmetry_space_group_name_H-M 'P 1'
_symmetry_Int_Tables_number 1
loop_
_symmetry_equiv_pos_as_xyz
'x,y,z'
loop_
_atom_site_label
_atom_site_type_symbol
_atom_site_fract_x
_atom_site_fract_y
_atom_site_fract_z
K1 K 0.000 0.000 0.000
K2 K 0.750 0.250 0.500
Ni1 Ni 0.250 0.750 0.500
Bi1 Bi 0.500 0.500 0.000
O1 O 0.206 0.084 0.561
O2 O 0.354 0.794 0.877
O3 O 0.523 0.646 0.439
O4 O 0.916 0.477 0.123
```



2.
# PBE with a Hubbard U KNi2BiO, optimized geometry
# Fermi-level density of states = 0.439 states/eV per atom
data_KNi2BiO
_cell_length_a 4.519
_cell_length_b 4.519
_cell_length_c 4.575
_cell_angle_alpha 90.00
_cell_angle_beta 90.00
_cell_angle_gamma 90.00
_symmetry_space_group_name_H-M 'P 1'
_symmetry_Int_Tables_number 1
loop_
_symmetry_equiv_pos_as_xyz
'x,y,z'
loop_
_atom_site_label
_atom_site_type_symbol
_atom_site_fract_x
_atom_site_fract_y
_atom_site_fract_z
K1 K 0.000 0.000 0.000
Ni1 Ni 0.000 0.500 0.000
Ni2 Ni 0.500 0.000 0.000
Bi1 Bi 0.500 0.500 0.500
O1 O 0.000 0.000 0.500



We obtain uncorrected energy values of -4.68 -1.39 eV/atom for the records listed above, in that order.